No. 1
Computed, not measured: LiYBi after structural relaxation at the GGA-PBE level of DFT.

a = 4.167 Å, b = 4.874 Å, c = 16.530 Å
α = 90.00°, β = 90.00°, γ = 90.00°
Space group Immm (No. 71)
Asymmetric unit:
Li: 0.000 0.249 0.000 x4
Y: 0.000 0.500 0.342 x4
Bi: 0.000 0.500 0.153 x4

Results
The calculation puts the energy above the lowest structure with this stoichiometry at 166 meV/atom. Its total energy is -4.558 eV per atom. The calculation puts the volume at 336 Å³ per cell.

***

No. 2
Computed, not measured: LiY3Bi after structural relaxation at the GGA-PBE level of DFT.

a = 5.252 Å, b = 5.252 Å, c = 5.252 Å
α = 90.00°, β = 90.00°, γ = 90.00°
Space group Pm-3m (No. 221)
Asymmetric unit:
Li: 0.000 0.000 0.000 x1
Y: 0.000 0.000 0.500 x3
Bi: 0.500 0.500 0.500 x1

Results
The calculation puts the energy above the lowest structure with this stoichiometry at 0 meV/atom. Its total energy is -4.931 eV per atom. The calculation puts the volume at 145 Å³ per cell.

***

No. 3
Computed, not measured: Li2Y2Bi after structural relaxation at the GGA-PBE level of DFT.

a = 3.875 Å, b = 3.875 Å, c = 18.763 Å
α = 90.00°, β = 90.00°, γ = 90.00°
Space group I4/mmm (No. 139)
Asymmetric unit:
Li: 0.000 0.500 0.250 x4
Y: 0.000 0.000 0.096 x4
Bi: 0.000 0.000 0.500 x2

Results
The calculation puts the energy above the lowest structure with this stoichiometry at 185 meV/atom. Its total energy is -4.219 eV per atom. The calculation puts the volume at 282 Å³ per cell.

***

No. 4
Computed, not measured: Li2YBi2 after structural relaxation at the GGA-PBE level of DFT.

a = 8.647 Å, b = 8.647 Å, c = 3.418 Å
α = 90.00°, β = 90.00°, γ = 90.00°
Space group P4/mbm (No. 127)
Asymmetric unit:
Li: 0.125 0.375 0.000 x4
Y: 0.000 0.000 0.500 x2
Bi: 0.171 0.671 0.500 x4

Results
The calculation puts the energy above the lowest structure with this stoichiometry at 44 meV/atom. Its total energy is -4.062 eV per atom. The calculation puts the volume at 256 Å³ per cell.

***

No. 5
Computed, not measured: LiYBi3 after structural relaxation at the GGA-PBE level of DFT.

a = 5.919 Å, b = 5.919 Å, c = 5.919 Å
α = 90.00°, β = 90.00°, γ = 90.00°
Space group Pm-3m (No. 221)
Asymmetric unit:
Li: 0.000 0.000 0.000 x1
Y: 0.500 0.500 0.500 x1
Bi: 0.000 0.500 0.500 x3

Results
The calculation puts the energy above the lowest structure with this stoichiometry at 212 meV/atom. Its total energy is -3.871 eV per atom. The calculation puts the volume at 207 Å³ per cell.

***

No. 6
Computed, not measured: Li3YBi after structural relaxation at the GGA-PBE level of DFT.

a = 5.072 Å, b = 5.072 Å, c = 5.072 Å
α = 90.00°, β = 90.00°, γ = 90.00°
Space group Pm-3m (No. 221)
Asymmetric unit:
Li: 0.000 0.000 0.500 x3
Y: 0.500 0.500 0.500 x1
Bi: 0.000 0.000 0.000 x1

Results
The calculation puts the energy above the lowest structure with this stoichiometry at 0 meV/atom. Its total energy is -3.127 eV per atom. The calculation puts the volume at 131 Å³ per cell.

***

No. 7
Computed, not measured: LiY2Bi2 after structural relaxation at the GGA-PBE level of DFT.

a = 8.613 Å, b = 8.613 Å, c = 4.033 Å
α = 90.00°, β = 90.00°, γ = 90.00°
Space group P4/mbm (No. 127)
Asymmetric unit:
Li: 0.000 0.000 0.000 x2
Y: 0.141 0.359 0.000 x4
Bi: 0.163 0.663 0.500 x4

Results
The calculation puts the energy above the lowest structure with this stoichiometry at 170 meV/atom. Its total energy is -4.988 eV per atom. The calculation puts the volume at 299 Å³ per cell.

***

No. 8
Computed, not measured: Li2YBi2 after structural relaxation at the GGA-PBE level of DFT.

a = 4.241 Å, b = 4.241 Å, c = 13.989 Å
α = 90.00°, β = 90.00°, γ = 90.00°
Space group I4/mmm (No. 139)
Asymmetric unit:
Li: 0.000 0.500 0.250 x4
Y: 0.000 0.000 0.000 x2
Bi: 0.000 0.000 0.385 x4

Results
The calculation puts the energy above the lowest structure with this stoichiometry at 4 meV/atom. Its total energy is -4.101 eV per atom. The calculation puts the volume at 252 Å³ per cell.

***

No. 9
Computed, not measured: Li3YBi3 after structural relaxation at the GGA-PBE level of DFT.

a = 9.0356 Å, b = 9.0356 Å, c = 16.9070 Å
α = 90.00°, β = 90.00°, γ = 120.00°
Space group R-3 (No. 148, hexagonal axes)
Asymmetric unit:
Li: 0.0045 0.7428 0.4220 x18
Y: 0.0000 0.0000 0.1923 x6
Bi: 0.0300 0.6172 0.5840 x18

Results
Its total energy is -3.808 eV per atom. The calculation puts the volume at 1195 Å³ per cell.

***

No. 10
Computed, not measured: Li3YBi after structural relaxation at the GGA-PBE level of DFT.

a = 5.337 Å, b = 5.337 Å, c = 5.337 Å
α = 90.00°, β = 90.00°, γ = 90.00°
Space group Pm-3m (No. 221)
Asymmetric unit:
Li: 0.000 0.000 0.500 x3
Y: 0.000 0.000 0.000 x1
Bi: 0.500 0.500 0.500 x1

Results
The calculation puts the energy above the lowest structure with this stoichiometry at 784 meV/atom. Its total energy is -2.342 eV per atom. The calculation puts the volume at 152 Å³ per cell.

***

No. 11
Computed, not measured: LiY2Bi2 after structural relaxation at the GGA-PBE level of DFT.

a = 8.289 Å, b = 8.289 Å, c = 4.224 Å
α = 90.00°, β = 90.00°, γ = 90.00°
Space group P4/mbm (No. 127)
Asymmetric unit:
Li: 0.000 0.000 0.000 x2
Y: 0.151 0.349 0.500 x4
Bi: 0.156 0.656 0.000 x4

Results
The calculation puts the energy above the lowest structure with this stoichiometry at 0 meV/atom. Its total energy is -5.158 eV per atom. The calculation puts the volume at 290 Å³ per cell.

***

No. 12
Computed, not measured: LiYBi after structural relaxation at the GGA-PBE level of DFT.

a = 4.5250 Å, b = 4.5250 Å, c = 4.1870 Å
α = 90.00°, β = 90.00°, γ = 120.00°
Space group P-6m2 (No. 187)
Asymmetric unit:
Li: 0.0000 0.0000 0.0000 x1
Y: 0.3333 0.6667 0.5000 x1
Bi: 0.6667 0.3333 0.0000 x1

Results
The calculation puts the energy above the lowest structure with this stoichiometry at 35 meV/atom. Its total energy is -4.689 eV per atom. The calculation puts the volume at 74 Å³ per cell.

***

No. 13
Computed, not measured: LiYBi after structural relaxation at the GGA-PBE level of DFT.

a = 3.795 Å, b = 3.795 Å, c = 10.852 Å
α = 90.00°, β = 90.00°, γ = 90.00°
Space group I4mm (No. 107)
Asymmetric unit:
Li: 0.000 0.000 0.000 x2
Y: 0.000 0.000 0.307 x2
Bi: 0.000 0.000 0.618 x2

Results
The calculation puts the energy above the lowest structure with this stoichiometry at 312 meV/atom. Its total energy is -4.412 eV per atom. The calculation puts the volume at 156 Å³ per cell.

***

No. 14
Computed, not measured: Li2YBi2 after structural relaxation at the GGA-PBE level of DFT.

a = 8.416 Å, b = 8.416 Å, c = 3.384 Å
α = 90.00°, β = 90.00°, γ = 90.00°
Space group P4/mbm (No. 127)
Asymmetric unit:
Li: 0.112 0.388 0.000 x4
Y: 0.000 0.000 0.000 x2
Bi: 0.183 0.683 0.500 x4

Results
The calculation puts the energy above the lowest structure with this stoichiometry at 0 meV/atom. Its total energy is -4.106 eV per atom. The calculation puts the volume at 240 Å³ per cell.

***

No. 15
Computed, not measured: LiYBi after structural relaxation at the GGA-PBE level of DFT.

a = 7.541 Å, b = 4.509 Å, c = 13.183 Å
α = 90.00°, β = 90.65°, γ = 90.00°
Space group P2_1/m (No. 11)
Asymmetric unit:
Li: 0.006 0.250 0.095 x2
Li: 0.170 0.250 0.451 x2
Li: 0.355 0.750 0.805 x2
Y: 0.017 0.250 0.695 x2
Y: 0.348 0.750 0.075 x2
Y: 0.485 0.750 0.377 x2
Bi: 0.221 0.250 0.910 x2
Bi: 0.226 0.750 0.571 x2
Bi: 0.275 0.250 0.245 x2

Results
The calculation puts the energy above the lowest structure with this stoichiometry at 0 meV/atom. Its total energy is -4.724 eV per atom. The calculation puts the volume at 448 Å³ per cell.

***

No. 16
Computed, not measured: Li2ZnBi2 after structural relaxation at the GGA-PBE level of DFT.

a = 8.212 Å, b = 8.212 Å, c = 3.342 Å
α = 90.00°, β = 90.00°, γ = 90.00°
Space group P4/mbm (No. 127)
Asymmetric unit:
Li: 0.117 0.383 0.000 x4
Zn: 0.000 0.000 0.000 x2
Bi: 0.184 0.684 0.500 x4

Results
The calculation puts the energy above the lowest structure with this stoichiometry at 110 meV/atom. Its total energy is -2.699 eV per atom. The calculation puts the volume at 225 Å³ per cell.

***

No. 17
Computed, not measured: Li5ZnBi2 after structural relaxation at the GGA-PBE level of DFT.

a = 4.8237 Å, b = 4.8237 Å, c = 17.8951 Å
α = 90.00°, β = 90.00°, γ = 120.00°
Space group P6_3/mmc (No. 194)
Asymmetric unit:
Li: 0.0000 0.0000 0.1553 x4
Li: 0.3333 0.6667 0.0637 x4
Li: 0.3333 0.6667 0.2500 x2
Zn: 0.3333 0.6667 0.7500 x2
Bi: 0.3333 0.6667 0.6035 x4

Results
Its total energy is -2.633 eV per atom. The calculation puts the volume at 361 Å³ per cell.

***

No. 18
Computed, not measured: Li3ZnBi after structural relaxation at the GGA-PBE level of DFT.

a = 5.355 Å, b = 5.355 Å, c = 5.355 Å
α = 90.00°, β = 90.00°, γ = 90.00°
Space group Pm-3m (No. 221)
Asymmetric unit:
Li: 0.000 0.000 0.500 x3
Zn: 0.500 0.500 0.500 x1
Bi: 0.000 0.000 0.000 x1

Results
Its total energy is -2.248 eV per atom. The calculation puts the volume at 154 Å³ per cell.

***

No. 19
Computed, not measured: Li2ZnBi2 after structural relaxation at the GGA-PBE level of DFT.

a = 9.486 Å, b = 8.090 Å, c = 6.692 Å
α = 90.00°, β = 106.65°, γ = 90.00°
Space group P2_1/c (No. 14)
Asymmetric unit:
Li: 0.042 0.195 0.011 x4
Li: 0.299 0.700 0.258 x4
Zn: 0.401 0.088 0.573 x4
Bi: 0.119 0.525 0.871 x4
Bi: 0.376 0.065 0.106 x4

Results
The calculation puts the energy above the lowest structure with this stoichiometry at 0 meV/atom. Its total energy is -2.809 eV per atom. The calculation puts the volume at 492 Å³ per cell.

***

No. 20
Computed, not measured: Li2ZnBi after structural relaxation at the GGA-PBE level of DFT.

a = 7.686 Å, b = 7.686 Å, c = 5.885 Å
α = 90.00°, β = 90.00°, γ = 90.00°
Space group I-42d (No. 122)
Asymmetric unit:
Li: 0.226 0.250 0.125 x8
Zn: 0.000 0.000 0.000 x4
Bi: 0.000 0.000 0.500 x4

Results
Its total energy is -2.337 eV per atom. The calculation puts the volume at 348 Å³ per cell.

***

| no. | energy of formation from the pure elements (kJ/mol of atoms) |
| --- | --- |
| 1 | -45.5 |
| 2 | 10.3 |
| 3 | -8.9 |
| 4 | -43.5 |
| 5 | 12.8 |
| 6 | 8.8 |
| 7 | -45.1 |
| 8 | -47.3 |
| 9 | -38.7 |
| 10 | 84.4 |
| 11 | -61.5 |
| 12 | -58.2 |
| 13 | -31.4 |
| 14 | -47.8 |
| 15 | -61.5 |
| 16 | -12.2 |
| 17 | -29.7 |
| 18 | -6.6 |
| 19 | -22.8 |
| 20 | -8.8 |